Crystalline PrGdCuAg at its relaxed geometry, computed with PBE.

Unit cell a=5.1753 b=5.1753 c=5.1753 alpha=60.00 beta=60.00 gamma=60.00
Last column: nearest neighbours and their distance in Å.
Element x y z (fractional)
Gd: 0.5000 0.5000 0.5000  4 Cu 3.17, 4 Ag 3.17
Cu: 0.2500 0.2500 0.2500  4 Pr 3.17, 4 Gd 3.17
Pr: 0.0000 0.0000 0.0000  4 Ag 3.17, 4 Cu 3.17
Ag: 0.7500 0.7500 0.7500  4 Gd 3.17, 4 Pr 3.17

Properties
total magnetic moment = 7.441 μB/f.u.
crystal system = cubic
ΔH_f (0 K) = -0.196 eV per atom
total DFT energy (no corrections) = -26.59 eV per formula unit
SG = F-43m (216)